# Pu12Ge6Pd

A relaxed structure of Pu12Ge6Pd (PBE, Alexandria via LeMat-Bulk).

Cell: 7.3410 7.3410 7.3410 Å, 78.04 78.04 78.04°
Atoms (fractional coordinates):
Pu 0.0783 0.3942 0.1271
Pu 0.1271 0.0783 0.3942
Pu 0.2127 0.5105 0.6532
Pu 0.3468 0.7873 0.4895
Pu 0.3942 0.1271 0.0783
Pu 0.4895 0.3468 0.7873
Pu 0.5105 0.6532 0.2127
Pu 0.6058 0.8729 0.9217
Pu 0.6532 0.2127 0.5105
Pu 0.7873 0.4895 0.3468
Pu 0.8729 0.9217 0.6058
Pu 0.9217 0.6058 0.8729
Ge 0.0796 0.7220 0.2844
Ge 0.2780 0.7156 0.9204
Ge 0.2844 0.0796 0.7220
Ge 0.7156 0.9204 0.2780
Ge 0.7220 0.2844 0.0796
Ge 0.9204 0.2780 0.7156
Pd 0.0000 0.0000 0.0000

Calculated values
**Symmetry**: R-3
**Raw total energy**: -204.26 eV/cell



# Pu3Ge2Pd

A relaxed structure of Pu3Ge2Pd (PBE, Alexandria via LeMat-Bulk).

Cell: 12.1334 4.4250 10.0801 Å, 90.00 90.00 90.00°
Atoms (fractional coordinates):
Pu 0.0468 0.2500 0.0874
Pu 0.1303 0.7500 0.5654
Pu 0.2345 0.2500 0.7772
Pu 0.2655 0.7500 0.2772
Pu 0.3697 0.2500 0.0654
Pu 0.4532 0.7500 0.5874
Pu 0.5468 0.2500 0.4126
Pu 0.6303 0.7500 0.9346
Pu 0.7345 0.2500 0.7228
Pu 0.7655 0.7500 0.2228
Pu 0.8697 0.2500 0.4346
Pu 0.9532 0.7500 0.9126
Ge 0.0047 0.7500 0.2869
Ge 0.1980 0.7500 0.9845
Ge 0.3020 0.2500 0.4845
Ge 0.4953 0.2500 0.7869
Ge 0.5047 0.7500 0.2131
Ge 0.6980 0.7500 0.5155
Ge 0.8020 0.2500 0.0155
Ge 0.9953 0.2500 0.7131
Pd 0.1123 0.2500 0.3618
Pd 0.3877 0.7500 0.8618
Pd 0.6123 0.2500 0.1382
Pd 0.8877 0.7500 0.6382

Calculated values
**Relative energy among the computed polymorphs**: 0.000 eV per formula unit
**Symmetry**: Pnma
**Raw total energy**: -240.72 eV/cell



# Pu8GePd5

A relaxed structure of Pu8GePd5 (PBE, Alexandria via LeMat-Bulk).

Cell: 7.5815 7.5815 7.5815 Å, 109.18 109.18 110.05°
Atoms (fractional coordinates):
Pu 0.0153 0.6186 0.7467
Pu 0.2237 0.4747 0.1057
Pu 0.3690 0.1180 0.8943
Pu 0.3814 0.1280 0.3966
Pu 0.5253 0.6310 0.7490
Pu 0.7314 0.9847 0.6034
Pu 0.8720 0.2686 0.2533
Pu 0.8820 0.7763 0.2510
Ge 0.0000 0.0000 0.0000
Pd 0.1330 0.2558 0.6304
Pd 0.2500 0.7500 0.5000
Pd 0.4974 0.8670 0.1228
Pd 0.6254 0.5026 0.3696
Pd 0.7442 0.3746 0.8772

Calculated values
**Symmetry**: I-4
**Raw total energy**: -149.42 eV/cell